[1]
Crystalline GdHgBiPt at its relaxed geometry, computed with PBE.

Summary:
Density of states at the Fermi level ... 0.83 states/eV/f.u.
Formation enthalpy at 0 K ... -0.54 eV per atom
M_tot ... 1.74 μB per atom
VASP energy ... -6.620 eV/atom

Lattice parameters (Å, degrees): 7.2348 7.2348 7.2348 90.00 90.00 90.00
Space group F-43m (No. 216)
Inequivalent atoms, fractional coordinates:
Gd (0.0000, 0.0000, 0.0000)
Hg (0.2500, 0.2500, 0.7500)
Bi (0.0000, 0.0000, 0.5000)
Pt (0.2500, 0.2500, 0.2500)

---

[2]
Crystalline GdHgBiRh at its relaxed geometry, computed with PBE.

Summary:
Density of states at the Fermi level ... 4.41 states/eV/f.u.
Formation enthalpy at 0 K ... -0.34 eV per atom
M_tot ... 1.80 μB per atom
VASP energy ... -6.742 eV/atom

Lattice parameters (Å, degrees): 7.1757 7.1757 7.1757 90.00 90.00 90.00
Space group F-43m (No. 216)
Inequivalent atoms, fractional coordinates:
Gd (0.0000, 0.0000, 0.0000)
Hg (0.2500, 0.2500, 0.2500)
Bi (0.0000, 0.0000, 0.5000)
Rh (0.2500, 0.2500, 0.7500)

---

[3]
Crystalline GdScHgBi at its relaxed geometry, computed with PBE.

Summary:
Density of states at the Fermi level ... 4.21 states/eV/f.u.
Formation enthalpy at 0 K ... -0.46 eV per atom
M_tot ... 1.98 μB per atom
VASP energy ... -6.608 eV/atom

Lattice parameters (Å, degrees): 7.4762 7.4762 7.4762 90.00 90.00 90.00
Space group F-43m (No. 216)
Inequivalent atoms, fractional coordinates:
Gd (0.0000, 0.0000, 0.0000)
Sc (0.0000, 0.0000, 0.5000)
Hg (0.2500, 0.2500, 0.7500)
Bi (0.2500, 0.2500, 0.2500)

---

[4]
Crystalline SmGdHgBi at its relaxed geometry, computed with PBE.

Summary:
Density of states at the Fermi level ... 5.05 states/eV/f.u.
Formation enthalpy at 0 K ... -0.55 eV per atom
M_tot ... 1.94 μB per atom
VASP energy ... -6.299 eV/atom

Lattice parameters (Å, degrees): 7.7029 7.7029 7.7029 90.00 90.00 90.00
Space group F-43m (No. 216)
Inequivalent atoms, fractional coordinates:
Sm (0.0000, 0.0000, 0.0000)
Gd (0.0000, 0.0000, 0.5000)
Hg (0.2500, 0.2500, 0.2500)
Bi (0.2500, 0.2500, 0.7500)

---

[5]
Crystalline GdSnHgBi at its relaxed geometry, computed with PBE.

Summary:
Density of states at the Fermi level ... 3.86 states/eV/f.u.
Formation enthalpy at 0 K ... -0.27 eV per atom
M_tot ... 1.74 μB per atom
VASP energy ... -5.841 eV/atom

Lattice parameters (Å, degrees): 7.6842 7.6842 7.6842 90.00 90.00 90.00
Space group F-43m (No. 216)
Inequivalent atoms, fractional coordinates:
Gd (0.0000, 0.0000, 0.0000)
Sn (0.0000, 0.0000, 0.5000)
Hg (0.2500, 0.2500, 0.7500)
Bi (0.2500, 0.2500, 0.2500)

---

[6]
Crystalline GdThHgBi at its relaxed geometry, computed with PBE.

Summary:
Density of states at the Fermi level ... 6.12 states/eV/f.u.
Formation enthalpy at 0 K ... -0.40 eV per atom
M_tot ... 1.98 μB per atom
VASP energy ... -6.817 eV/atom

Lattice parameters (Å, degrees): 7.7391 7.7391 7.7391 90.00 90.00 90.00
Space group F-43m (No. 216)
Inequivalent atoms, fractional coordinates:
Gd (0.0000, 0.0000, 0.0000)
Th (0.0000, 0.0000, 0.5000)
Hg (0.2500, 0.2500, 0.7500)
Bi (0.2500, 0.2500, 0.2500)

---

[7]
Crystalline GdTmHgBi at its relaxed geometry, computed with PBE.

Summary:
Density of states at the Fermi level ... 3.36 states/eV/f.u.
Formation enthalpy at 0 K ... -0.50 eV per atom
M_tot ... 1.94 μB per atom
VASP energy ... -6.184 eV/atom

Lattice parameters (Å, degrees): 7.6060 7.6060 7.6060 90.00 90.00 90.00
Space group F-43m (No. 216)
Inequivalent atoms, fractional coordinates:
Gd (0.0000, 0.0000, 0.0000)
Tm (0.0000, 0.0000, 0.5000)
Hg (0.2500, 0.2500, 0.2500)
Bi (0.2500, 0.2500, 0.7500)

---

[8]
Crystalline GdYHgBi at its relaxed geometry, computed with PBE.

Summary:
Density of states at the Fermi level ... 4.15 states/eV/f.u.
Formation enthalpy at 0 K ... -0.54 eV per atom
M_tot ... 1.95 μB per atom
VASP energy ... -6.726 eV/atom

Lattice parameters (Å, degrees): 7.6472 7.6472 7.6472 90.00 90.00 90.00
Space group F-43m (No. 216)
Inequivalent atoms, fractional coordinates:
Gd (0.0000, 0.0000, 0.0000)
Y (0.0000, 0.0000, 0.5000)
Hg (0.2500, 0.2500, 0.7500)
Bi (0.2500, 0.2500, 0.2500)

---

Which formula does entry 4 have?
SmGdHgBi